Entry 1:
SbPPb | PBE-GGA | optimized geometry

Results
Raw formation energy in eV per atom: 0.076
VASP energy in eV/atom: -4.337
Spin magnetization in μB/atom: 0.000
E above lowest polymorph in eV per atom: 0.000

Lattice parameters (Å, degrees): 8.1931 7.8963 5.8764 90.00 90.74 90.00
Closest atoms and distances in Å follow each position.
Fractional coordinates of all 12 atoms:
Sb: 0.1515 0.0000 0.1184  1 P 2.58, 1 Sb 2.83
Sb: 0.3485 0.5000 0.8816  1 P 2.58, 1 Sb 2.83
Sb: 0.6515 0.5000 0.1184  1 P 2.58, 1 Sb 2.83
Sb: 0.8485 0.0000 0.8816  1 P 2.58, 1 Sb 2.83
P: 0.1216 0.2311 0.4253  1 P 2.19
P: 0.3784 0.7311 0.5747  1 P 2.19
P: 0.6216 0.7311 0.4253  1 P 2.19
P: 0.8784 0.2311 0.5747  1 P 2.19
Pb: 0.1337 0.6128 0.2789  1 P 2.80, 1 Sb 3.07
Pb: 0.3663 0.1128 0.7211  1 P 2.80, 1 Sb 3.07
Pb: 0.6337 0.1128 0.2789  1 P 2.80, 1 Sb 3.07
Pb: 0.8663 0.6128 0.7211  1 P 2.80, 1 Sb 3.07


Entry 2:
Ca2BrO | PBE-GGA | optimized geometry

Results
Raw formation energy in eV per atom: -1.970
VASP energy in eV/atom: -4.628
Spin magnetization in μB/atom: 0.182
E above lowest polymorph in eV per atom: 0.030

Lattice parameters (Å, degrees): 3.6896 3.6896 20.9547 90.00 90.00 120.00
Closest atoms and distances in Å follow each position.
Fractional coordinates of all 12 atoms:
Ca: 0.0000 0.0000 0.2263  3 O 2.47
Ca: 0.0000 0.0000 0.7737  3 O 2.47
Ca: 0.3333 0.6667 0.4404  3 O 2.47
Ca: 0.3333 0.6667 0.8929  3 O 2.47
Ca: 0.6667 0.3333 0.1071  3 O 2.47
Ca: 0.6667 0.3333 0.5596  3 O 2.47
Br: 0.0000 0.0000 0.0000  6 Ca 3.09
Br: 0.3333 0.6667 0.6667  6 Ca 3.09
Br: 0.6667 0.3333 0.3333  6 Ca 3.09
O: 0.0000 0.0000 0.5000  6 Ca 2.47
O: 0.3333 0.6667 0.1667  6 Ca 2.47
O: 0.6667 0.3333 0.8333  6 Ca 2.47


Entry 3:
ZrSiIrOs2 | PBE-GGA | optimized geometry

Results
Raw formation energy in eV per atom: 1.234
VASP energy in eV/atom: -7.824
Spin magnetization in μB/atom: 0.000

Lattice parameters (Å, degrees): 4.7840 4.7840 4.4113 90.00 90.00 90.00
Closest atoms and distances in Å follow each position.
Fractional coordinates of all 5 atoms:
Zr: 0.0000 0.0000 0.0000  8 Os 3.25, 4 Si 3.38
Si: 0.5000 0.5000 0.0000  2 Ir 2.21
Ir: 0.5000 0.5000 0.5000  2 Si 2.21, 4 Os 2.39
Os: 0.0000 0.5000 0.5000  2 Ir 2.39
Os: 0.5000 0.0000 0.5000  2 Ir 2.39


Entry 4:
CsCd2Pb | PBE-GGA | optimized geometry

Results
Energy relative to the elements in eV per atom: -0.059
VASP energy in eV/atom: -1.657
Spin magnetization in μB/atom: 0.000

Lattice parameters (Å, degrees): 5.2990 5.2990 20.3498 90.00 90.00 120.00
Closest atoms and distances in Å follow each position.
Fractional coordinates of all 12 atoms:
Cs: 0.0000 0.0000 0.0000  8 Cd 4.02-4.12
Cs: 0.3333 0.6667 0.6667  8 Cd 4.02-4.12
Cs: 0.6667 0.3333 0.3333  8 Cd 4.02-4.12
Cd: 0.0000 0.0000 0.1977  3 Pb 3.12, 3 Cd 3.31
Cd: 0.0000 0.0000 0.8023  3 Pb 3.12, 3 Cd 3.31
Cd: 0.3333 0.6667 0.4690  3 Pb 3.12, 3 Cd 3.31
Cd: 0.3333 0.6667 0.8644  3 Pb 3.12, 3 Cd 3.31
Cd: 0.6667 0.3333 0.1356  3 Pb 3.12, 3 Cd 3.31
Cd: 0.6667 0.3333 0.5310  3 Pb 3.12, 3 Cd 3.31
Pb: 0.0000 0.0000 0.5000  6 Cd 3.12
Pb: 0.3333 0.6667 0.1667  6 Cd 3.12
Pb: 0.6667 0.3333 0.8333  6 Cd 3.12


Entry 5:
Pm6Ge2Ru | PBE-GGA | optimized geometry

Results
Energy relative to the elements in eV per atom: -0.387
VASP energy in eV/atom: -5.611
Spin magnetization in μB/atom: 0.000

Lattice parameters (Å, degrees): 8.6149 8.6149 8.6149 146.11 131.22 60.71
Closest atoms and distances in Å follow each position.
Fractional coordinates of all 9 atoms:
Pm: 0.0858 0.3405 0.7453  1 Ru 2.94, 3 Ge 3.09-3.10
Pm: 0.2393 0.0000 0.2393  2 Ru 3.03, 2 Ge 3.13
Pm: 0.4048 0.6595 0.7453  1 Ru 2.94, 3 Ge 3.09-3.10
Pm: 0.5952 0.3405 0.2547  1 Ru 2.94, 3 Ge 3.09-3.10
Pm: 0.7607 0.0000 0.7607  2 Ru 3.03, 2 Ge 3.13
Pm: 0.9142 0.6595 0.2547  1 Ru 2.94, 3 Ge 3.09-3.10
Ge: 0.3308 0.8308 0.5000  8 Pm 3.09-3.13
Ge: 0.6692 0.1692 0.5000  8 Pm 3.09-3.13
Ru: 0.0000 0.5000 0.5000  8 Pm 2.94-3.03


Entry 6:
KTl2AsO6 | PBE-GGA | optimized geometry

Results
Raw formation energy in eV per atom: -1.048
VASP energy in eV/atom: -5.071
Spin magnetization in μB/atom: 0.009

Lattice parameters (Å, degrees): 8.0587 8.0587 6.5866 104.66 104.66 104.93
Closest atoms and distances in Å follow each position.
Fractional coordinates of all 20 atoms:
K: 0.1014 0.8986 0.7500  6 O 2.75-2.88
K: 0.8986 0.1014 0.2500  6 O 2.75-2.88
Tl: 0.2863 0.4589 0.8623  5 O 2.22-2.29
Tl: 0.4589 0.2863 0.3623  5 O 2.22-2.29
Tl: 0.5411 0.7137 0.6377  5 O 2.22-2.29
Tl: 0.7137 0.5411 0.1377  5 O 2.22-2.29
As: 0.1847 0.8153 0.2500  4 O 1.71-1.74
As: 0.8153 0.1847 0.7500  4 O 1.71-1.74
O: 0.0251 0.2214 0.7095  1 As 1.74
O: 0.1621 0.6636 0.0007  1 As 1.71
O: 0.2214 0.0251 0.2095  1 As 1.74
O: 0.3087 0.4416 0.5243  3 Tl 2.22-2.29
O: 0.3364 0.8379 0.4993  1 As 1.71
O: 0.4416 0.3087 0.0243  3 Tl 2.22-2.29
O: 0.5584 0.6913 0.9757  3 Tl 2.22-2.29
O: 0.6636 0.1621 0.5007  1 As 1.71
O: 0.6913 0.5584 0.4757  3 Tl 2.22-2.29
O: 0.7786 0.9749 0.7905  1 As 1.74
O: 0.8379 0.3364 0.9993  1 As 1.71
O: 0.9749 0.7786 0.2905  1 As 1.74


Entry 7:
Mn2AsP | PBE-GGA | optimized geometry

Results
Energy relative to the elements in eV per atom: -0.403
VASP energy in eV/atom: -7.503
Spin magnetization in μB/atom: 0.775

Lattice parameters (Å, degrees): 3.3041 5.9666 5.3307 90.00 90.00 90.00
Closest atoms and distances in Å follow each position.
Fractional coordinates of all 8 atoms:
Mn: 0.0000 0.0513 0.0000  2 As 2.35-2.45, 4 P 2.38-2.39
Mn: 0.0000 0.9487 0.5000  2 As 2.35-2.45, 4 P 2.38-2.39
Mn: 0.5000 0.4375 0.0046  1 P 2.26, 4 As 2.39-2.44
Mn: 0.5000 0.5625 0.5046  1 P 2.26, 4 As 2.39-2.44
As: 0.0000 0.3253 0.3172  6 Mn 2.35-2.45
As: 0.0000 0.6747 0.8172  6 Mn 2.35-2.45
P: 0.5000 0.1701 0.7052  5 Mn 2.26-2.39
P: 0.5000 0.8299 0.2052  5 Mn 2.26-2.39


Entry 8:
AcBiTe2O8 | PBE-GGA | optimized geometry

Results
Raw formation energy in eV per atom: -1.439
VASP energy in eV/atom: -5.934
Spin magnetization in μB/atom: 0.000

Lattice parameters (Å, degrees): 6.5303 6.5303 6.5303 107.44 107.44 113.61
Closest atoms and distances in Å follow each position.
Fractional coordinates of all 12 atoms:
Ac: 0.0000 0.0000 0.0000  8 O 2.54-2.66
Bi: 0.2500 0.7500 0.5000  8 O 2.42-2.69
Te: 0.5000 0.5000 0.0000  4 O 2.02
Te: 0.7500 0.2500 0.5000  4 O 1.88
O: 0.3086 0.1170 0.8085  1 Te 2.02
O: 0.3086 0.5001 0.1915  1 Te 2.02
O: 0.3937 0.0726 0.3212  1 Te 1.88
O: 0.4999 0.6914 0.8085  1 Te 2.02
O: 0.7514 0.0726 0.6788  1 Te 1.88
O: 0.8830 0.6914 0.1915  1 Te 2.02
O: 0.9274 0.2486 0.3212  1 Te 1.88
O: 0.9274 0.6063 0.6788  1 Te 1.88